Here is a relaxed Tb2HoRh crystal from Alexandria. Energies are from PBE-GGA.

Values from the calculation:
Excess energy over the best structure of this formula in the dataset = 0 meV per atom
Calculated formation energy = -2.090 eV per formula unit

Unit cell a=7.1650 b=9.5505 c=6.2771 alpha=90.00 beta=90.00 gamma=90.00
Closest atoms and distances in Å follow each position.
Space group Pnma (No. 62)
Inequivalent atoms, fractional coordinates:
Tb: 0.1781 0.0637 0.1712 x8  2 Rh 2.86-2.87
Ho: 0.0355 0.2500 0.6397 x4  2 Rh 2.77-2.83
Rh: 0.1183 0.7500 0.9444 x4  2 Ho 2.77-2.83, 4 Tb 2.86-2.87



Here is a relaxed Mg2SiMo crystal from Alexandria. Energies are from PBE-GGA.

Values from the calculation:
DFT total energy = -37.6 eV/cell

Unit cell a=9.3306 b=2.7590 c=5.2651 alpha=90.00 beta=96.34 gamma=90.00
Closest atoms and distances in Å follow each position.
Space group Cm (No. 8)
Inequivalent atoms, fractional coordinates:
Mg: 0.0000 0.0000 0.0000 x2  5 Mg 2.72-2.98, 2 Si 2.82, 3 Mo 2.84-2.94
Mg: 0.2390 0.0000 0.7457 x2  5 Mg 2.72-2.98, 2 Mo 2.89, 3 Si 2.91-2.94
Si: 0.4913 0.0000 0.4654 x2  3 Mo 2.73-2.75, 2 Si 2.76, 5 Mg 2.82-2.94
Mo: 0.2519 0.5000 0.2661 x2  3 Si 2.73-2.75, 2 Mo 2.76, 7 Mg 2.84-3.06



Here is a relaxed SbF4 crystal from Alexandria. Energies are from PBE-GGA.

Values from the calculation:
DFT total energy = -43.9 eV/cell

Unit cell a=5.3398 b=5.1412 c=5.1324 alpha=90.00 beta=104.34 gamma=90.00
Closest atoms and distances in Å follow each position.
Space group P2/c (No. 13)
Inequivalent atoms, fractional coordinates:
Sb: 0.0000 0.2498 0.2500 x2  8 F 2.17-2.19
F: 0.2147 0.0623 0.6161 x4  2 Sb 2.17-2.18, 1 F 2.39
F: 0.2154 0.4372 0.9963 x4  2 Sb 2.17-2.19, 1 F 2.40



Here is a relaxed Zr5Cu crystal from Alexandria. Energies are from PBE-GGA.

Values from the calculation:
Excess energy over the best structure of this formula in the dataset = 0 meV per atom
Calculated formation energy = -0.058 eV per formula unit

Unit cell a=11.0217 b=3.2228 c=7.7271 alpha=90.00 beta=109.68 gamma=90.00
Closest atoms and distances in Å follow each position.
Space group Cm (No. 8)
Inequivalent atoms, fractional coordinates:
Zr: 0.0000 0.0000 0.0000 x2  2 Cu 2.76
Zr: 0.0202 0.0000 0.4156 x2  10 Zr 3.09-3.31, 2 Cu 3.31
Zr: 0.1616 0.5000 0.7821 x2  2 Cu 2.78
Zr: 0.2222 0.5000 0.2791 x2  2 Cu 2.76, 1 Zr 3.09
Zr: 0.3570 0.0000 0.6407 x2  11 Zr 3.13-3.31, 1 Cu 3.44
Cu: 0.3162 0.0000 0.0625 x2  6 Zr 2.76-2.78



Here is a relaxed Mo2AsRh crystal from Alexandria. Energies are from PBE-GGA.

Values from the calculation:
Calculated formation energy = -0.186 eV per formula unit

Unit cell a=9.4560 b=2.9547 c=4.6025 alpha=90.00 beta=108.94 gamma=90.00
Closest atoms and distances in Å follow each position.
Space group Cm (No. 8)
Inequivalent atoms, fractional coordinates:
Mo: 0.0000 0.0000 0.0000 x2  3 As 2.56-2.79, 4 Rh 2.75-2.77
Mo: 0.2067 0.0000 0.6334 x2  3 Rh 2.67-2.70, 4 As 2.70-2.79, 4 Mo 2.94-2.97
As: 0.2338 0.5000 0.1402 x2  7 Mo 2.56-2.79, 2 Rh 2.63
Rh: 0.4577 0.0000 0.4751 x2  2 As 2.63, 7 Mo 2.67-2.77



Here is a relaxed Mn2NbPtN crystal from Alexandria. Energies are from PBE-GGA.

Values from the calculation:
DFT total energy = -45.1 eV/cell

Unit cell a=3.9622 b=3.9622 c=4.1886 alpha=90.00 beta=90.00 gamma=90.00
Closest atoms and distances in Å follow each position.
Space group P4/mmm (No. 123)
Inequivalent atoms, fractional coordinates:
Mn: 0.0000 0.5000 0.0000 x2  2 N 1.98
Nb: 0.0000 0.0000 0.5000 x1  2 N 2.09
Pt: 0.5000 0.5000 0.5000 x1  4 Nb 2.80, 8 Mn 2.88
N: 0.0000 0.0000 0.0000 x1  4 Mn 1.98, 2 Nb 2.09